(1)
BeZnCu4B2: relaxed, GGA-PBE.

Structure (CIF):
```
data_BeZnCu4B2
_symmetry_space_group_name_H-M 'P 4/m m m'
_symmetry_Int_Tables_number 123
_symmetry_space_group_name_Hall '-P 4 2'
_cell_length_a 3.737
_cell_length_b 3.737
_cell_length_c 5.701
_cell_angle_alpha 90.00
_cell_angle_beta 90.00
_cell_angle_gamma 90.00
loop_
_atom_site_label
_atom_site_fract_x
_atom_site_fract_y
_atom_site_fract_z
_atom_site_occupancy
Be1 0.000 0.000 0.000 1
Zn1 0.500 0.500 0.500 1
Cu1 0.000 0.500 0.225 1
B1 0.000 0.000 0.500 1
B2 0.500 0.500 0.000 1
```

## Properties
Energy: -30.40 eV per cell

(2)
BeZnCuB: relaxed, GGA-PBE.

Structure (CIF):
```
data_BeZnCuB
_symmetry_space_group_name_H-M 'F -4 3 m'
_symmetry_Int_Tables_number 216
_symmetry_space_group_name_Hall 'F -4 2 3'
_cell_length_a 5.394
_cell_length_b 5.394
_cell_length_c 5.394
_cell_angle_alpha 90.00
_cell_angle_beta 90.00
_cell_angle_gamma 90.00
loop_
_atom_site_label
_atom_site_fract_x
_atom_site_fract_y
_atom_site_fract_z
_atom_site_occupancy
Be1 0.000 0.000 0.000 1
Zn1 0.250 0.250 0.750 1
Cu1 0.250 0.250 0.250 1
B1 0.000 0.000 0.500 1
```

## Properties
Energy: -53.35 eV per cell
Energy above the lowest structure with this stoichiometry: 0 meV per atom

(3)
ZrBeCuB: relaxed, GGA-PBE.

Structure (CIF):
```
data_ZrBeCuB
_symmetry_space_group_name_H-M 'F -4 3 m'
_symmetry_Int_Tables_number 216
_symmetry_space_group_name_Hall 'F -4 2 3'
_cell_length_a 5.731
_cell_length_b 5.731
_cell_length_c 5.731
_cell_angle_alpha 90.00
_cell_angle_beta 90.00
_cell_angle_gamma 90.00
loop_
_atom_site_label
_atom_site_fract_x
_atom_site_fract_y
_atom_site_fract_z
_atom_site_occupancy
Zr1 0.000 0.000 0.000 1
Be1 0.250 0.250 0.750 1
Cu1 0.000 0.000 0.500 1
B1 0.250 0.250 0.250 1
```

## Properties
Total moment: 0.0 Bohr magnetons per cell
Energy: -88.46 eV per cell
Energy above the lowest structure with this stoichiometry: 0 meV per atom